This record from OQMD via LeMat-Bulk describes a relaxed Cu2Ag3 crystal. The functional is PBE-GGA.

Properties
Space-group type: C2/m (12)
Energy of formation (meV/atom): 77.0
Crystal system: monoclinic
Offset from the most stable computed form (eV per atom): 0.045

abc: 6.0915 6.0915 9.3629
angles: 98.63 98.63 27.05
Closest atoms and distances in Å follow each position.
Atoms (fractional coordinates):
Ag: 0.3521 0.3521 0.0509  11 Ag 2.83-3.13, 1 Cu 3.05
Ag: 0.0513 0.0513 0.1701  3 Cu 2.71-2.73, 8 Ag 2.83-2.89
Ag: 0.7594 0.7594 0.2743  5 Cu 2.63-2.76, 6 Ag 2.85-2.88
Ag: 0.2406 0.2406 0.7257  5 Cu 2.63-2.76, 6 Ag 2.85-2.88
Ag: 0.9487 0.9487 0.8299  3 Cu 2.71-2.73, 8 Ag 2.83-2.89
Ag: 0.6479 0.6479 0.9491  11 Ag 2.83-3.13, 1 Cu 3.05
Cu: 0.4565 0.4565 0.3697  5 Cu 2.50-2.63, 4 Ag 2.73-2.76
Cu: 0.1411 0.1411 0.4548  6 Cu 2.58-2.85, 4 Ag 2.63-2.75
Cu: 0.8589 0.8589 0.5452  6 Cu 2.58-2.85, 4 Ag 2.63-2.75
Cu: 0.5435 0.5435 0.6303  5 Cu 2.50-2.63, 4 Ag 2.73-2.76

---

This record from OQMD via LeMat-Bulk describes a relaxed Gd3Mg3Ir2Au crystal. The functional is PBE-GGA.

Properties
Space-group type: P-62m (189)
Crystal system: hexagonal

abc: 7.4292 7.4292 4.0487
angles: 90.00 90.00 120.00
Closest atoms and distances in Å follow each position.
Atoms (fractional coordinates):
Au: 0.0000 0.0000 0.0000  6 Mg 2.76
Gd: 0.4190 0.0000 0.0000  4 Ir 3.01, 1 Au 3.11, 2 Mg 3.17
Gd: 0.0000 0.4190 0.0000  4 Ir 3.01, 1 Au 3.11, 2 Mg 3.17
Gd: 0.5810 0.5810 0.0000  4 Ir 3.01, 1 Au 3.11, 2 Mg 3.17
Ir: 0.6667 0.3333 0.5000  3 Mg 2.82, 6 Gd 3.01
Ir: 0.3333 0.6667 0.5000  3 Mg 2.82, 6 Gd 3.01
Mg: 0.7475 0.0000 0.5000  2 Au 2.76, 2 Ir 2.82
Mg: 0.2525 0.2525 0.5000  2 Au 2.76, 2 Ir 2.82
Mg: 0.0000 0.7475 0.5000  2 Au 2.76, 2 Ir 2.82

---

This record from OQMD via LeMat-Bulk describes a relaxed Li2MgIn2HgPt2 crystal. The functional is PBE-GGA.

Properties
Space-group type: P-4m2 (115)
Crystal system: tetragonal

abc: 4.6160 4.6160 6.5899
angles: 90.00 90.00 90.00
Closest atoms and distances in Å follow each position.
Atoms (fractional coordinates):
Hg: 0.0000 0.0000 0.0000  4 Li 2.82, 4 Pt 2.90
In: 0.5000 0.5000 0.0000  4 Li 2.82, 4 Pt 2.90
In: 0.0000 0.0000 0.5000  4 Pt 2.78, 4 Li 2.85
Li: 0.5000 0.0000 0.2455  2 Hg 2.82, 4 In 2.82-2.85, 2 Mg 2.85
Li: 0.0000 0.5000 0.7545  2 Hg 2.82, 4 In 2.82-2.85, 2 Mg 2.85
Mg: 0.5000 0.5000 0.5000  4 Pt 2.78, 4 Li 2.85
Pt: 0.0000 0.5000 0.2657  4 In 2.78-2.90, 2 Mg 2.78, 2 Hg 2.90
Pt: 0.5000 0.0000 0.7343  4 In 2.78-2.90, 2 Mg 2.78, 2 Hg 2.90

---

no.,energy (eV/atom)
1,-3.10
2,-5.07
3,-3.43